Entry from Alexandria via LeMat-Bulk: La2AlZn3Ga4 after structural relaxation (GGA-PBE).

Values from the calculation:
Spin magnetization ... 0.00 μB per formula unit
Energy of formation from the pure elements ... -0.52 eV per atom
SG ... P-4m2 (115)
DOS at the Fermi energy ... 2.6 states/eV per cell
VASP energy ... -3.4698 eV/atom

Unit cell a=4.3228 b=4.3228 c=10.7348 alpha=90.00 beta=90.00 gamma=90.00
Last column: nearest neighbours and their distance in Å.
Element x y z (fractional)
La  0.0000  0.5000  0.2486  8 Ga 3.29-3.43, 6 Zn 3.30-3.46, 2 Al 3.46
La  0.5000  0.0000  0.7514  8 Ga 3.29-3.43, 6 Zn 3.30-3.46, 2 Al 3.46
Al  0.0000  0.0000  0.5000  4 Ga 2.62
Zn  0.0000  0.5000  0.8684  5 Ga 2.48-2.58
Zn  0.5000  0.0000  0.1316  5 Ga 2.48-2.58
Zn  0.5000  0.5000  0.5000  4 Ga 2.62
Ga  0.0000  0.0000  0.0000  4 Zn 2.58
Ga  0.0000  0.5000  0.6378  3 Zn 2.48-2.62, 2 Al 2.62
Ga  0.5000  0.0000  0.3622  3 Zn 2.48-2.62, 2 Al 2.62
Ga  0.5000  0.5000  0.0000  4 Zn 2.58